Entry 1:
Ba2BCl | GGA-PBE | optimized geometry

abc: 7.930 7.930 7.351
angles: 57.36 57.36 90.00
Last column: magnetic moment on the atom in μB.
Element x y z (fractional)
B 0.500 0.500 0.000  0.54
B 0.250 0.750 0.500  0.54
Ba 0.156 0.625 0.250  0.14
Ba 0.594 0.125 0.250  0.14
Ba 0.375 0.406 0.750  0.14
Ba 0.875 0.844 0.750  0.14
Cl 0.000 0.000 0.000  0.01
Cl 0.750 0.250 0.500  0.01

Results
relative energy among the computed polymorphs: 0.0 meV per atom
raw formation energy: -0.33 eV per atom
total energy: -27.400 eV/cell
space group: I-42d (122)


Entry 2:
BaBClF4 | GGA-PBE | optimized geometry

abc: 6.529 6.529 7.043
angles: 81.19 81.19 71.83
Element x y z (fractional)
F 0.805 0.505 0.851
F 0.516 0.516 0.236
F 0.495 0.195 0.149
F 0.682 0.682 0.559
F 0.318 0.318 0.441
F 0.484 0.484 0.764
F 0.195 0.495 0.149
F 0.505 0.805 0.851
Cl 0.055 0.055 0.233
Cl 0.945 0.945 0.767
B 0.382 0.382 0.247
B 0.618 0.618 0.753
Ba 0.785 0.785 0.170
Ba 0.215 0.215 0.830

Results
raw formation energy: -3.03 eV per atom
total energy: -78.301 eV/cell
space group: C2/m (12)


Entry 3:
Ba4NaB10ClO18F2 | GGA-PBE | optimized geometry

abc: 6.833 11.603 11.601
angles: 90.00 91.92 90.00
Element x y z (fractional)
O 0.063 0.760 0.799
O 0.857 0.932 0.800
O 0.402 0.803 0.749
O 0.006 0.108 0.734
O 0.650 0.567 0.192
O 0.098 0.303 0.751
O 0.598 0.197 0.251
O 0.156 0.747 0.601
O 0.491 0.698 0.573
O 0.238 0.230 0.088
O 0.009 0.198 0.927
O 0.509 0.302 0.427
O 0.762 0.770 0.912
O 0.844 0.253 0.399
O 0.563 0.740 0.299
O 0.150 0.933 0.692
O 0.344 0.247 0.899
O 0.937 0.240 0.201
O 0.357 0.568 0.300
O 0.143 0.068 0.200
O 0.742 0.750 0.707
O 0.902 0.697 0.249
O 0.643 0.432 0.700
O 0.738 0.270 0.588
O 0.350 0.433 0.808
O 0.758 0.250 0.793
O 0.994 0.892 0.266
O 0.494 0.608 0.766
O 0.437 0.260 0.701
O 0.262 0.730 0.412
O 0.506 0.392 0.234
O 0.242 0.750 0.207
O 0.991 0.802 0.073
O 0.850 0.067 0.308
O 0.656 0.753 0.101
O 0.258 0.250 0.293
B 0.309 0.727 0.527
B 0.000 0.009 0.257
B 0.536 0.718 0.701
B 0.806 0.191 0.288
B 0.191 0.227 0.973
B 0.500 0.509 0.243
B 0.694 0.691 0.212
B 0.643 0.299 0.696
B 0.691 0.273 0.473
B 0.500 0.491 0.757
B 0.143 0.201 0.196
B 0.306 0.309 0.788
B 0.464 0.282 0.299
B 0.357 0.701 0.304
B 0.194 0.809 0.712
B 0.964 0.218 0.799
B 0.809 0.773 0.027
B 0.000 0.991 0.743
B 0.857 0.799 0.804
B 0.036 0.782 0.201
Ba 0.999 0.531 0.696
Ba 0.501 0.031 0.804
Ba 0.001 0.469 0.304
Ba 0.322 0.706 0.970
Ba 0.178 0.206 0.530
Ba 0.499 0.969 0.196
Ba 0.822 0.794 0.470
Ba 0.678 0.294 0.030
F 0.817 0.560 0.479
F 0.183 0.440 0.521
F 0.317 0.940 0.979
F 0.683 0.060 0.021
Na 0.500 0.500 0.500
Na 0.000 0.000 0.000
Cl 0.500 0.000 0.500
Cl 0.000 0.500 0.000

Results
raw formation energy: -2.70 eV per atom
total energy: -535.692 eV/cell
space group: P2_1/c (14)


Entry 4:
Ba2BN2Cl | GGA-PBE | optimized geometry

abc: 12.886 12.886 12.886
angles: 109.47 109.47 109.47
Element x y z (fractional)
Ba 0.409 0.659 0.750
Ba 0.750 0.409 0.659
Ba 0.438 0.500 0.000
Ba 0.750 0.841 0.091
Ba 0.750 0.750 0.750
Ba 0.091 0.841 0.250
Ba 0.500 0.000 0.438
Ba 0.250 0.659 0.409
Ba 0.062 0.062 0.062
Ba 0.250 0.091 0.841
Ba 0.659 0.750 0.409
Ba 0.000 0.438 0.500
Ba 0.409 0.250 0.659
Ba 0.659 0.409 0.250
Ba 0.091 0.750 0.841
Ba 0.841 0.091 0.750
Ba 0.000 0.750 0.500
Ba 0.500 0.000 0.062
Ba 0.062 0.500 0.000
Ba 0.438 0.438 0.438
Ba 0.000 0.062 0.500
Ba 0.841 0.250 0.091
Ba 0.500 0.000 0.750
Ba 0.750 0.500 0.000
N 0.197 0.018 0.594
N 0.018 0.594 0.197
N 0.924 0.821 0.018
N 0.197 0.679 0.603
N 0.924 0.603 0.906
N 0.679 0.576 0.482
N 0.018 0.924 0.821
N 0.594 0.197 0.018
N 0.303 0.897 0.821
N 0.482 0.679 0.576
N 0.603 0.197 0.679
N 0.906 0.924 0.603
N 0.482 0.303 0.906
N 0.576 0.482 0.679
N 0.821 0.018 0.924
N 0.821 0.303 0.897
N 0.603 0.906 0.924
N 0.679 0.603 0.197
N 0.576 0.594 0.897
N 0.897 0.821 0.303
N 0.303 0.906 0.482
N 0.594 0.897 0.576
N 0.906 0.482 0.303
N 0.897 0.576 0.594
B 0.961 0.922 0.711
B 0.250 0.961 0.539
B 0.578 0.539 0.789
B 0.711 0.250 0.789
B 0.789 0.578 0.539
B 0.961 0.539 0.250
B 0.922 0.711 0.961
B 0.789 0.711 0.250
B 0.711 0.961 0.922
B 0.539 0.789 0.578
B 0.250 0.789 0.711
B 0.539 0.250 0.961
Cl 0.359 0.609 0.218
Cl 0.609 0.218 0.359
Cl 0.141 0.359 0.250
Cl 0.282 0.891 0.141
Cl 0.609 0.891 0.250
Cl 0.359 0.250 0.141
Cl 0.218 0.359 0.609
Cl 0.141 0.282 0.891
Cl 0.250 0.141 0.359
Cl 0.891 0.250 0.609
Cl 0.891 0.141 0.282
Cl 0.250 0.609 0.891

Results
raw formation energy: -1.42 eV per atom
total energy: -450.126 eV/cell
space group: I4_132 (214)


Entry 5:
BaNbBCl2 | GGA-PBE | optimized geometry

abc: 4.763 7.173 4.763
angles: 90.00 90.00 90.00
Last column: magnetic moment on the atom in μB.
Element x y z (fractional)
Nb 0.000 0.000 0.000  0.39
Ba 0.000 0.500 0.000  0.18
Cl 0.000 0.000 0.500  0.01
Cl 0.500 0.000 0.000  0.00
B 0.500 0.500 0.500  0.59

Results
raw formation energy: 0.48 eV per atom
total energy: -19.981 eV/cell
space group: P4/mmm (123)


Entry 6:
Ba4B10Cl2O19 | GGA-PBE | optimized geometry

abc: 6.768 11.766 11.877
angles: 90.00 90.00 90.00
Last column: magnetic moment on the atom in μB.
Element x y z (fractional)
Ba 0.536 0.039 0.760  0.00
Ba 0.378 0.270 0.018  -0.01
Ba 0.036 0.461 0.260  0.00
Ba 0.878 0.770 0.482  -0.01
Ba 0.536 0.961 0.240  0.00
Ba 0.378 0.730 0.982  -0.01
Ba 0.878 0.230 0.518  -0.01
Ba 0.036 0.539 0.740  0.00
Cl 0.116 0.500 0.000  0.25
Cl 0.393 0.000 0.000  0.00
Cl 0.616 0.000 0.500  0.25
Cl 0.893 0.500 0.500  0.00
B 0.382 0.292 0.679  0.00
B 0.349 0.272 0.454  0.00
B 0.728 0.309 0.768  0.00
B 0.228 0.191 0.268  0.00
B 0.349 0.728 0.546  0.00
B 0.882 0.208 0.179  0.00
B 0.014 0.018 0.247  0.00
B 0.514 0.518 0.253  0.00
B 0.061 0.209 0.784  0.00
B 0.014 0.982 0.753  0.00
B 0.061 0.791 0.216  0.00
B 0.728 0.691 0.232  0.00
B 0.849 0.228 0.954  0.00
B 0.561 0.291 0.284  0.00
B 0.228 0.809 0.732  0.00
B 0.882 0.792 0.821  0.00
B 0.561 0.709 0.716  0.00
B 0.849 0.772 0.046  0.00
B 0.382 0.708 0.321  0.00
B 0.514 0.482 0.747  0.00
O 0.195 0.750 0.621  0.00
O 0.863 0.084 0.205  0.01
O 0.689 0.566 0.219  0.01
O 0.695 0.250 0.879  0.00
O 0.094 0.241 0.183  0.00
O 0.363 0.416 0.705  0.01
O 0.272 0.222 0.763  0.02
O 0.973 0.000 0.500  1.22
O 0.475 0.597 0.761  0.04
O 0.272 0.778 0.237  0.02
O 0.296 0.271 0.566  0.01
O 0.094 0.759 0.817  0.00
O 0.938 0.299 0.735  0.00
O 0.296 0.729 0.434  0.01
O 0.473 0.500 0.000  1.22
O 0.189 0.934 0.719  0.01
O 0.772 0.278 0.263  0.02
O 0.695 0.750 0.121  0.00
O 0.689 0.434 0.781  0.01
O 0.534 0.292 0.411  0.01
O 0.034 0.792 0.089  0.01
O 0.475 0.403 0.239  0.04
O 0.772 0.722 0.737  0.02
O 0.594 0.741 0.317  0.00
O 0.975 0.903 0.261  0.04
O 0.594 0.259 0.683  0.00
O 0.034 0.208 0.911  0.01
O 0.534 0.708 0.589  0.01
O 0.938 0.701 0.265  0.00
O 0.796 0.229 0.066  0.01
O 0.863 0.916 0.795  0.01
O 0.975 0.097 0.739  0.04
O 0.796 0.771 0.934  0.01
O 0.363 0.584 0.295  0.01
O 0.195 0.250 0.379  0.00
O 0.438 0.799 0.765  0.00
O 0.189 0.066 0.281  0.01
O 0.438 0.201 0.235  0.00

Results
raw formation energy: -2.51 eV per atom
total energy: -520.179 eV/cell
space group: Pnn2 (34)


Spin magnetization? In order: 0.50; 0.00; 0.00; 0.00; 0.50; 0.06 μB per atom.